[1]
La3Pm4Co4 | PBE | optimized geometry

Properties
Fermi-level density of states: 13.33 states/eV/f.u.
electronic total energy: -5.648 eV/atom
SG: Immm (71)
calculated formation energy: 0.0078 eV/atom

Cell lengths 4.8051, 7.5568, 8.7485 Å; angles 115.59, 105.94, 90.00 degrees
Fractional coordinates of all 11 atoms:
La 0.1038 0.1038 0.2075
Co 0.5000 0.1482 0.0000
La 0.8962 0.8962 0.7925
Pm 0.3309 0.5516 0.6618
Co 0.5000 0.8518 0.0000
La 0.0000 0.5000 0.0000
Co 0.1979 0.6979 0.3958
Pm 0.3309 0.1102 0.6618
Pm 0.6691 0.4484 0.3382
Pm 0.6691 0.8898 0.3382
Co 0.8021 0.3021 0.6042

---

[2]
La6PmCo3 | PBE | optimized geometry

Properties
Fermi-level density of states: 9.72 states/eV/f.u.
electronic total energy: -5.582 eV/atom
SG: Cmc2_1 (36)
calculated formation energy: -0.0189 eV/atom

Cell lengths 7.3946, 8.6911, 8.6911 Å; angles 93.72, 90.00, 90.00 degrees
Fractional coordinates of all 20 atoms:
La 0.5951 0.3267 0.3029
La 0.5951 0.6971 0.6733
La 0.8577 0.9943 0.5370
Co 0.4013 0.2568 0.0029
Co 0.9013 0.7432 0.9971
La 0.1063 0.6931 0.3069
Co 0.3571 0.4537 0.5463
La 0.6565 0.0210 0.9790
La 0.0951 0.6733 0.6971
La 0.1565 0.9790 0.0210
La 0.6063 0.3069 0.6931
Co 0.9013 0.0029 0.2568
La 0.0951 0.3029 0.3267
La 0.3577 0.5370 0.9943
Co 0.4013 0.9971 0.7432
Pm 0.1572 0.2599 0.7401
La 0.3577 0.0057 0.4630
Co 0.8571 0.5463 0.4537
Pm 0.6572 0.7401 0.2599
La 0.8577 0.4630 0.0057

---

[3]
La2PmCo2 | PBE | optimized geometry

Properties
Fermi-level density of states: 2.47 states/eV/f.u.
electronic total energy: -5.792 eV/atom
SG: C2/m (12)
calculated formation energy: -0.0284 eV/atom

Cell lengths 4.0506, 5.7261, 6.0388 Å; angles 106.19, 109.60, 90.00 degrees
Fractional coordinates of all 5 atoms:
Pm 0.0000 0.0000 0.0000
Co 0.2996 0.8690 0.5992
La 0.6621 0.6400 0.3243
La 0.3379 0.3600 0.6757
Co 0.7004 0.1310 0.4008

---

[4]
LaPmPrCo | PBE | optimized geometry

Properties
Fermi-level density of states: 4.35 states/eV/f.u.
electronic total energy: -5.356 eV/atom
SG: Amm2 (38)
calculated formation energy: 0.0353 eV/atom

Cell lengths 3.6792, 4.9389, 7.8594 Å; angles 108.34, 117.94, 89.97 degrees
Fractional coordinates of all 4 atoms:
Co 0.3834 0.1313 0.8253
Pr 0.5521 0.9653 0.4939
La 0.7496 0.3139 0.1907
Pm 0.9265 0.6524 0.8678

---

[5]
LaPmCoSi | PBE | optimized geometry

Properties
Fermi-level density of states: 4.36 states/eV/f.u.
electronic total energy: -6.029 eV/atom
SG: R3m (160)

Cell lengths 4.0680, 4.0680, 7.8046 Å; angles 74.89, 74.89, 60.00 degrees
Fractional coordinates of all 4 atoms:
Si 0.6010 0.6010 0.1970
Pm 0.0143 0.0143 0.9571
Co 0.2635 0.2635 0.2096
La 0.8471 0.8471 0.4587

---

[6]
LaPmSmCo | PBE | optimized geometry

Properties
Fermi-level density of states: 4.45 states/eV/f.u.
electronic total energy: -5.351 eV/atom
SG: Amm2 (38)
calculated formation energy: 0.0253 eV/atom

Cell lengths 3.6381, 4.9432, 7.7672 Å; angles 108.57, 117.95, 89.97 degrees
Fractional coordinates of all 4 atoms:
Co 0.3807 0.1300 0.8226
La 0.7541 0.3161 0.1953
Pm 0.5524 0.9653 0.4940
Sm 0.9244 0.6514 0.8660

---

[7]
LaTbPmCo | PBE | optimized geometry

Properties
Fermi-level density of states: 4.19 states/eV/f.u.
electronic total energy: -5.341 eV/atom
SG: Amm2 (38)
calculated formation energy: 0.0122 eV/atom

Cell lengths 3.5755, 4.7679, 7.9354 Å; angles 107.49, 116.78, 90.00 degrees
Fractional coordinates of all 4 atoms:
La 0.7451 0.3119 0.1867
Co 0.3850 0.1317 0.8266
Tb 0.9219 0.6502 0.8635
Pm 0.5597 0.9689 0.5011

---

[8]
La3PmTlCo | PBE | optimized geometry

Properties
Fermi-level density of states: 5.89 states/eV/f.u.
electronic total energy: -5.049 eV/atom
SG: C2/m (12)
calculated formation energy: -0.2146 eV/atom

Cell lengths 9.3508, 9.3508, 6.1592 Å; angles 108.69, 108.69, 45.21 degrees
Fractional coordinates of all 12 atoms:
La 0.3734 0.8620 0.1144
Pm 0.7416 0.2584 0.5000
La 0.1380 0.6266 0.8856
La 0.8620 0.3734 0.1144
La 0.6266 0.1380 0.8856
Pm 0.2584 0.7416 0.5000
Tl 0.6912 0.6912 0.6930
Co 0.0308 0.0308 0.8436
La 0.8063 0.8063 0.2960
Tl 0.3088 0.3088 0.3070
La 0.1937 0.1937 0.7040
Co 0.9692 0.9692 0.1564

---

[9]
La3Pm3Tl2Co | PBE | optimized geometry

Properties
Fermi-level density of states: 10.31 states/eV/f.u.
electronic total energy: -4.785 eV/atom
SG: P-62m (189)
calculated formation energy: -0.2436 eV/atom

Cell lengths 3.8694, 8.9184, 8.9184 Å; angles 120.00, 90.00, 90.00 degrees
Fractional coordinates of all 9 atoms:
Co 0.0000 0.0000 0.0000
Tl 0.5000 0.6667 0.3333
Pm 0.0000 0.4034 0.0000
La 0.5000 0.2314 0.2314
Pm 0.0000 0.5966 0.5966
Tl 0.5000 0.3333 0.6667
La 0.5000 0.0000 0.7686
Pm 0.0000 0.0000 0.4034
La 0.5000 0.7686 0.0000

---

[10]
La3Pm3Zn2Co | PBE | optimized geometry

Properties
Fermi-level density of states: 10.64 states/eV/f.u.
electronic total energy: -4.443 eV/atom
SG: P-62m (189)
calculated formation energy: -0.1441 eV/atom

Cell lengths 3.7217, 8.8411, 8.8411 Å; angles 120.00, 90.00, 90.00 degrees
Fractional coordinates of all 9 atoms:
Pm 0.5000 0.2337 0.2337
Pm 0.5000 0.0000 0.7663
Pm 0.5000 0.7663 0.0000
La 0.0000 0.0000 0.4085
Co 0.0000 0.0000 0.0000
Zn 0.5000 0.3333 0.6667
Zn 0.5000 0.6667 0.3333
La 0.0000 0.5915 0.5915
La 0.0000 0.4085 0.0000

---

[11]
LaPmZnCo | PBE | optimized geometry

Properties
Fermi-level density of states: 2.99 states/eV/f.u.
electronic total energy: -4.628 eV/atom
SG: F-43m (216)
calculated formation energy: -0.1132 eV/atom

Cell lengths 5.0726, 5.0726, 5.0726 Å; angles 60.00, 60.00, 60.00 degrees
Fractional coordinates of all 4 atoms:
Pm 0.7500 0.7500 0.7500
Zn 0.5000 0.5000 0.5000
La 0.2500 0.2500 0.2500
Co 0.0000 0.0000 0.0000

---

[12]
LaPr3Co | PBE | optimized geometry

Properties
Fermi-level density of states: 5.47 states/eV/f.u.
electronic total energy: -5.334 eV/atom
ΔE to the lowest computed polymorph: 0 meV per atom
SG: C2/m (12)
calculated formation energy: -0.0599 eV/atom

Cell lengths 7.5088, 7.5088, 7.4486 Å; angles 109.73, 109.78, 109.23 degrees
Fractional coordinates of all 10 atoms:
Pr 0.8365 0.0454 0.2921
Pr 0.7533 0.5444 0.7079
Pr 0.7060 0.4559 0.1620
Pr 0.2940 0.5441 0.8380
Pr 0.1635 0.9546 0.7079
Co 0.3651 0.2421 0.6072
La 0.7096 0.0375 0.7471
Pr 0.2467 0.4556 0.2921
Co 0.6349 0.7579 0.3928
La 0.2904 0.9625 0.2529

---

- Number 9 is which compound?
  La3Pm3Tl2Co